Entry from Alexandria: crystalline DyNi2O4 at its relaxed geometry (PBE+U).

## Properties
SG = I4_1/amd, No. 141
total magnetization = 2.99 μB/f.u.
raw total energy = -6.00 eV per atom
volume = 77.5 Å³/f.u.

abc: 5.8628 5.8628 5.8599
angles: 108.94 108.94 110.57
Closest atoms and distances in Å follow each position.
Fractional coordinates of all 14 atoms:
O1 0.7670 0.0830 0.6835  3 Ni 2.00-2.13, 1 Dy 2.23
O2 0.8505 0.6666 0.1836  3 Ni 2.00-2.13, 1 Dy 2.23
O3 0.9167 0.6005 0.6837  3 Ni 2.00-2.13, 1 Dy 2.23
Dy1 0.0000 0.0000 0.0000  4 O 2.23
Ni1 0.6250 0.3751 0.2501  6 O 2.00-2.13
Dy2 0.2500 0.7500 0.5000  4 O 2.23
Ni2 0.6251 0.3750 0.7501  6 O 2.00-2.13
O4 0.4830 0.6669 0.8164  3 Ni 2.00-2.13, 1 Dy 2.23
O5 0.3334 0.1495 0.8164  3 Ni 2.00-2.13, 1 Dy 2.23
O6 0.9168 0.2330 0.3163  3 Ni 2.00-2.13, 1 Dy 2.23
Ni3 0.1250 0.3749 0.7499  6 O 2.00-2.13
O7 0.3995 0.0835 0.3165  3 Ni 2.00-2.13, 1 Dy 2.23
O8 0.3331 0.5170 0.1836  3 Ni 2.00-2.13, 1 Dy 2.23
Ni4 0.6249 0.8750 0.2499  6 O 2.00-2.13


Entry from Alexandria: crystalline DyNiP2O8 at its relaxed geometry (PBE+U).

## Properties
SG = P-3m1, No. 164
total magnetization = 3.04 μB/f.u.
raw total energy = -6.93 eV per atom
volume = 150.8 Å³/f.u.

abc: 5.3831 5.3831 6.0087
angles: 90.00 90.00 120.00
Closest atoms and distances in Å follow each position.
Fractional coordinates of all 12 atoms:
O1 0.6495 0.8247 0.7405  1 P 1.57
Dy1 0.0000 0.0000 0.0000  6 O 2.26
P1 0.6667 0.3333 0.3480  4 O 1.52-1.57
O2 0.1753 0.8247 0.7405  1 P 1.57
Ni1 0.0000 0.0000 0.5000  6 O 2.18
P2 0.3333 0.6667 0.6520  4 O 1.52-1.57
O3 0.8247 0.6495 0.2595  1 P 1.57
O4 0.6667 0.3333 0.6011  1 P 1.52
O5 0.8247 0.1753 0.2595  1 P 1.57
O6 0.3505 0.1753 0.2595  1 P 1.57
O7 0.1753 0.3505 0.7405  1 P 1.57
O8 0.3333 0.6667 0.3989  1 P 1.52


Entry from Alexandria: crystalline SrPrDyNiO6 at its relaxed geometry (PBE+U).

## Properties
SG = F-43m, No. 216
total magnetization = 0.00 μB/f.u.
raw total energy = -6.68 eV per atom
volume = 129.3 Å³/f.u.

abc: 5.6764 5.6764 5.6764
angles: 60.00 60.00 60.00
Closest atoms and distances in Å follow each position.
Fractional coordinates of all 10 atoms:
Dy1 0.0000 0.0000 0.0000  6 O 2.16
O1 0.2687 0.7313 0.2687  1 Ni 1.86
Sr1 0.7500 0.7500 0.7500  12 O 2.84
O2 0.7313 0.2687 0.7313  1 Ni 1.86
O3 0.7313 0.7313 0.2687  1 Ni 1.86
O4 0.2687 0.7313 0.7313  1 Ni 1.86
O5 0.7313 0.2687 0.2687  1 Ni 1.86
Ni1 0.5000 0.5000 0.5000  6 O 1.86
Pr1 0.2500 0.2500 0.2500  12 O 2.84
O6 0.2687 0.2687 0.7313  1 Ni 1.86


Entry from Alexandria: crystalline DyNiPtO4 at its relaxed geometry (PBE+U).

## Properties
SG = Imma, No. 74
total magnetization = 1.89 μB/f.u.
raw total energy = -6.24 eV per atom
volume = 89.5 Å³/f.u.

abc: 7.0474 6.1670 6.6763
angles: 122.77 90.00 124.85
Closest atoms and distances in Å follow each position.
Fractional coordinates of all 14 atoms:
O1 0.8019 0.6037 0.3534  2 Pt 2.24, 2 Ni 2.30-2.31, 1 Dy 2.32
O2 0.1981 0.3963 0.2497  2 Pt 2.24, 2 Ni 2.30-2.31, 1 Dy 2.32
O3 0.8019 0.6037 0.7503  2 Pt 2.24, 2 Ni 2.30-2.31, 1 Dy 2.32
O4 0.1981 0.3963 0.6466  2 Pt 2.24, 2 Ni 2.30-2.31, 1 Dy 2.32
Dy1 0.5000 0.0000 0.0000  6 O 2.27-2.32
Ni1 0.9487 0.8974 0.1987  2 O 2.01
Ni2 0.0513 0.1026 0.8013  2 O 2.01
O5 0.2642 0.9621 0.2311  1 Ni 2.01, 1 Pt 2.06
O6 0.3021 0.0379 0.7689  1 Ni 2.01, 1 Pt 2.06
O7 0.7358 0.0379 0.7689  1 Ni 2.01, 1 Pt 2.06
O8 0.6979 0.9621 0.2311  1 Ni 2.01, 1 Pt 2.06
Pt1 0.5000 0.5000 0.5000  6 O 2.06-2.24
Pt2 0.0000 0.5000 0.5000  6 O 2.06-2.24
Dy2 0.5000 0.0000 0.5000  6 O 2.27-2.32


The lowest raw total energy belongs to which entry?
DyNiP2O8


Which of these has the highest volume?
DyNiP2O8


raw total energy of number 4 (DyNiPtO4)?
-6.24 eV per atom


Among the records above, which one has the lowest total magnetization?
SrPrDyNiO6